# 1
AlTlSiO4, relaxed, DFT PBEsol; space group = R3c (161); raw formation energy = -2477 meV/atom
1.0
8.999 0.015 0.016
-0.073 8.999 0.016
-0.073 -0.073 8.999
Al O Tl Si
6 24 6 6
direct
0.002 0.494 0.251 Al
0.502 0.751 0.994 Al
0.494 0.251 0.002 Al
0.251 0.002 0.494 Al
0.751 0.994 0.502 Al
0.994 0.502 0.751 Al
0.864 0.850 0.438 O
0.938 0.350 0.364 O
0.653 0.641 0.948 O
0.850 0.555 0.144 O
0.644 0.055 0.350 O
0.850 0.438 0.864 O
0.153 0.448 0.141 O
0.147 0.559 0.860 O
0.559 0.860 0.147 O
0.555 0.144 0.850 O
0.448 0.141 0.153 O
0.350 0.644 0.055 O
0.860 0.147 0.559 O
0.948 0.653 0.641 O
0.055 0.350 0.644 O
0.438 0.864 0.850 O
0.059 0.647 0.360 O
0.647 0.360 0.059 O
0.641 0.948 0.653 O
0.360 0.059 0.647 O
0.350 0.364 0.938 O
0.144 0.850 0.555 O
0.141 0.153 0.448 O
0.364 0.938 0.350 O
0.847 0.149 0.851 Tl
0.649 0.347 0.351 Tl
0.351 0.649 0.347 Tl
0.149 0.851 0.847 Tl
0.347 0.351 0.649 Tl
0.851 0.847 0.149 Tl
0.500 0.001 0.748 Si
0.501 0.000 0.248 Si
0.001 0.748 0.500 Si
0.748 0.500 0.001 Si
0.000 0.248 0.501 Si
0.248 0.501 0.000 Si

# 2
Al2V3Si3O12, relaxed, DFT PBEsol; space group = Ia-3d (230); raw formation energy = -2375 meV/atom
1.0
10.018 0.000 0.000
-3.339 9.445 0.000
-3.339 -4.723 8.180
O V Si Al
48 12 12 8
direct
0.396 0.516 0.314 O
0.918 0.314 0.798 O
0.202 0.186 0.082 O
0.484 0.186 0.104 O
0.418 0.620 0.604 O
0.082 0.396 0.380 O
0.604 0.120 0.418 O
0.814 0.396 0.016 O
0.516 0.814 0.896 O
0.702 0.082 0.186 O
0.798 0.814 0.918 O
0.604 0.484 0.686 O
0.814 0.418 0.298 O
0.104 0.418 0.120 O
0.016 0.120 0.702 O
0.918 0.604 0.620 O
0.582 0.202 0.686 O
0.202 0.016 0.620 O
0.418 0.798 0.314 O
0.582 0.380 0.396 O
0.396 0.880 0.582 O
0.484 0.298 0.880 O
0.104 0.686 0.484 O
0.896 0.314 0.516 O
0.896 0.582 0.880 O
0.298 0.918 0.814 O
0.298 0.380 0.984 O
0.880 0.082 0.896 O
0.686 0.984 0.604 O
0.620 0.104 0.918 O
0.314 0.298 0.418 O
0.016 0.896 0.814 O
0.380 0.484 0.798 O
0.186 0.582 0.702 O
0.620 0.516 0.202 O
0.702 0.620 0.016 O
0.984 0.880 0.298 O
0.120 0.918 0.104 O
0.798 0.984 0.380 O
0.686 0.702 0.582 O
0.880 0.798 0.484 O
0.516 0.702 0.120 O
0.314 0.016 0.396 O
0.120 0.202 0.516 O
0.984 0.104 0.186 O
0.186 0.604 0.984 O
0.082 0.686 0.202 O
0.380 0.896 0.082 O
0.250 0.125 0.875 V
0.125 0.375 0.750 V
0.875 0.625 0.250 V
0.375 0.125 0.250 V
0.375 0.250 0.625 V
0.250 0.625 0.375 V
0.750 0.875 0.125 V
0.875 0.250 0.125 V
0.125 0.750 0.875 V
0.625 0.875 0.750 V
0.625 0.750 0.375 V
0.750 0.375 0.625 V
0.125 0.875 0.250 Si
0.625 0.250 0.875 Si
0.750 0.125 0.375 Si
0.875 0.125 0.750 Si
0.250 0.875 0.625 Si
0.750 0.625 0.875 Si
0.875 0.750 0.625 Si
0.250 0.375 0.125 Si
0.625 0.375 0.250 Si
0.375 0.750 0.125 Si
0.375 0.625 0.750 Si
0.125 0.250 0.375 Si
0.000 0.000 0.000 Al
0.500 0.500 0.000 Al
0.500 0.000 0.000 Al
0.000 0.500 0.000 Al
0.500 0.000 0.500 Al
0.000 0.000 0.500 Al
0.000 0.500 0.500 Al
0.500 0.500 0.500 Al

# 3
SmAlO3, relaxed, DFT PBEsol; space group = Pnma (62); raw formation energy = -3366 meV/atom
1.0
-3.387 3.550 -1.963
0.050 -2.515 -4.634
-5.723 -4.227 2.231
Al O Sm
4 12 4
direct
0.500 0.500 0.000 Al
0.500 0.500 0.500 Al
0.000 0.000 0.500 Al
0.000 0.000 0.000 Al
0.988 0.071 0.250 O
0.220 0.279 0.538 O
0.280 0.779 0.038 O
0.280 0.779 0.462 O
0.720 0.221 0.538 O
0.220 0.279 0.962 O
0.780 0.721 0.038 O
0.780 0.721 0.462 O
0.720 0.221 0.962 O
0.488 0.429 0.250 O
0.012 0.929 0.750 O
0.512 0.571 0.750 O
0.533 0.992 0.250 Sm
0.467 0.008 0.750 Sm
0.967 0.492 0.750 Sm
0.033 0.508 0.250 Sm

# 4
Sm4Al2O9, relaxed, DFT PBEsol; space group = P2_1/c (14); raw formation energy = -3356 meV/atom
1.0
7.576 0.000 -0.006
0.000 10.691 0.000
-3.665 0.000 10.610
O Al Sm
36 8 16
direct
0.267 0.273 0.734 O
0.933 0.743 0.615 O
0.067 0.243 0.885 O
0.717 0.530 0.662 O
0.267 0.227 0.234 O
0.933 0.757 0.115 O
0.733 0.727 0.266 O
0.716 0.276 0.753 O
0.576 0.735 0.479 O
0.577 0.494 0.894 O
0.202 0.533 0.674 O
0.067 0.257 0.385 O
0.141 0.771 0.964 O
0.577 0.006 0.394 O
0.859 0.271 0.536 O
0.934 0.491 0.104 O
0.141 0.729 0.464 O
0.424 0.235 0.021 O
0.066 0.991 0.396 O
0.798 0.467 0.326 O
0.202 0.967 0.174 O
0.576 0.765 0.979 O
0.716 0.224 0.253 O
0.423 0.994 0.606 O
0.733 0.773 0.766 O
0.284 0.776 0.747 O
0.423 0.506 0.106 O
0.283 0.030 0.838 O
0.066 0.509 0.896 O
0.934 0.009 0.604 O
0.424 0.265 0.521 O
0.798 0.033 0.826 O
0.283 0.470 0.338 O
0.717 0.970 0.162 O
0.284 0.724 0.247 O
0.859 0.229 0.036 O
0.153 0.813 0.117 Al
0.280 0.311 0.372 Al
0.720 0.689 0.628 Al
0.847 0.313 0.383 Al
0.720 0.811 0.128 Al
0.280 0.189 0.872 Al
0.847 0.187 0.883 Al
0.153 0.687 0.617 Al
0.834 0.875 0.431 Sm
0.834 0.625 0.931 Sm
0.475 0.088 0.191 Sm
0.665 0.121 0.589 Sm
0.665 0.379 0.089 Sm
0.525 0.588 0.309 Sm
0.475 0.412 0.691 Sm
0.525 0.912 0.809 Sm
0.976 0.105 0.214 Sm
0.166 0.125 0.569 Sm
0.024 0.895 0.786 Sm
0.335 0.879 0.411 Sm
0.024 0.605 0.286 Sm
0.335 0.621 0.911 Sm
0.166 0.375 0.069 Sm
0.976 0.395 0.714 Sm

# 5
SrSmAlO4, relaxed, DFT PBEsol; space group = I4mm (107); raw formation energy = -3213 meV/atom
1.0
-1.990 3.127 -0.026
-2.425 -1.524 2.353
5.463 1.310 3.558
O Sm Sr Al
4 1 1 1
direct
0.007 0.507 0.014 O
0.161 0.161 0.322 O
0.832 0.832 0.664 O
0.507 0.007 0.014 O
0.640 0.640 0.280 Sm
0.356 0.356 0.711 Sr
0.997 0.997 0.994 Al

# 6
SrSmAl3O7, relaxed, DFT PBEsol; space group = Cmm2 (35); raw formation energy = -3164 meV/atom
1.0
5.144 0.000 0.000
0.000 7.816 0.014
0.000 -0.068 7.816
Sm Al O Sr
2 6 14 2
direct
0.485 0.660 0.660 Sm
0.485 0.340 0.340 Sm
0.960 0.641 0.359 Al
0.039 0.853 0.853 Al
0.004 0.000 0.500 Al
0.960 0.359 0.641 Al
0.039 0.147 0.147 Al
0.004 0.500 0.000 Al
0.702 0.156 0.156 O
0.299 0.628 0.372 O
0.160 0.000 0.000 O
0.809 0.417 0.835 O
0.202 0.096 0.341 O
0.801 0.500 0.500 O
0.809 0.583 0.165 O
0.299 0.372 0.628 O
0.809 0.165 0.583 O
0.702 0.844 0.844 O
0.202 0.904 0.659 O
0.809 0.835 0.417 O
0.202 0.341 0.096 O
0.202 0.659 0.904 O
0.509 0.161 0.839 Sr
0.509 0.839 0.161 Sr